# LiNi4P3O12

Crystalline LiNi4P3O12 at its relaxed geometry (PBEsol, the Alexandria database).

As for the calculated total energy: -6.91 eV per atom. As for the formation energy (no corrections): -150.3 kJ/mol of atoms. The value obtained for the energy relative to the lowest polymorph listed for this composition is 36 meV/atom.

a = 6.0356 Å, b = 9.4070 Å, c = 16.0560 Å
α = 90.00°, β = 90.00°, γ = 90.00°
With the nearest neighbours (Å) after each atom.
Element x y z (fractional)
Li 0.0000 0.2791 0.4162  4 O 2.12-2.26
Li 0.0000 0.7209 0.5838  4 O 2.12-2.26
Li 0.5000 0.2209 0.9162  4 O 2.12-2.26
Li 0.5000 0.7791 0.0838  4 O 2.12-2.26
Ni 0.0000 0.5382 0.0913  5 O 1.94-2.04
Ni 0.0000 0.9948 0.1397  6 O 1.92-2.12
Ni 0.0000 0.0052 0.8603  6 O 1.92-2.12
Ni 0.0000 0.4618 0.9087  5 O 1.94-2.04
Ni 0.7491 0.7532 0.2982  5 O 1.99-2.10
Ni 0.7491 0.2468 0.7018  5 O 1.99-2.10
Ni 0.7509 0.2532 0.2018  5 O 1.99-2.10
Ni 0.7509 0.7468 0.7982  5 O 1.99-2.10
Ni 0.5000 0.9618 0.5913  5 O 1.94-2.04
Ni 0.5000 0.5052 0.6397  6 O 1.92-2.12
Ni 0.5000 0.0382 0.4087  5 O 1.94-2.04
Ni 0.5000 0.4948 0.3603  6 O 1.92-2.12
Ni 0.2491 0.7468 0.7982  5 O 1.99-2.10
Ni 0.2491 0.2532 0.2018  5 O 1.99-2.10
Ni 0.2509 0.7532 0.2982  5 O 1.99-2.10
Ni 0.2509 0.2468 0.7018  5 O 1.99-2.10
P 0.0000 0.2060 0.0359  4 O 1.50-1.58
P 0.0000 0.0456 0.3377  4 O 1.53-1.61
P 0.0000 0.4578 0.2809  4 O 1.54-1.60
P 0.0000 0.5422 0.7191  4 O 1.54-1.60
P 0.0000 0.9544 0.6623  4 O 1.53-1.61
P 0.0000 0.7940 0.9641  4 O 1.50-1.58
P 0.5000 0.9578 0.2191  4 O 1.54-1.60
P 0.5000 0.2940 0.5359  4 O 1.50-1.58
P 0.5000 0.5456 0.1623  4 O 1.53-1.61
P 0.5000 0.7060 0.4641  4 O 1.50-1.58
P 0.5000 0.0422 0.7809  4 O 1.54-1.60
P 0.5000 0.4544 0.8377  4 O 1.53-1.61
O 0.0000 0.3687 0.0211  1 P 1.55
O 0.0000 0.1159 0.2460  1 P 1.61
O 0.0000 0.3974 0.1880  1 P 1.60
O 0.0000 0.8631 0.0483  1 P 1.50
O 0.0000 0.6208 0.2754  1 P 1.54
O 0.0000 0.1180 0.6707  1 P 1.55
O 0.0000 0.8820 0.3293  1 P 1.55
O 0.0000 0.3792 0.7246  1 P 1.54
O 0.0000 0.1369 0.9517  1 P 1.50
O 0.0000 0.6026 0.8120  1 P 1.60
O 0.0000 0.8841 0.7540  1 P 1.61
O 0.0000 0.6313 0.9789  1 P 1.55
O 0.7962 0.1586 0.0907  1 P 1.58
O 0.7962 0.8414 0.9093  1 P 1.58
O 0.7986 0.8972 0.6155  1 P 1.53
O 0.7986 0.1028 0.3845  1 P 1.53
O 0.7907 0.3920 0.3203  1 P 1.54
O 0.7907 0.6080 0.6797  1 P 1.54
O 0.7093 0.8920 0.1797  1 P 1.54
O 0.7093 0.1080 0.8203  1 P 1.54
O 0.7014 0.3972 0.8845  1 P 1.53
O 0.7014 0.6028 0.1155  1 P 1.53
O 0.7038 0.3414 0.5907  1 P 1.58
O 0.7038 0.6586 0.4093  1 P 1.58
O 0.5000 0.3820 0.1707  1 P 1.55
O 0.5000 0.3631 0.4517  1 P 1.50
O 0.5000 0.1313 0.5211  1 P 1.55
O 0.5000 0.6369 0.5483  1 P 1.50
O 0.5000 0.1208 0.2246  1 P 1.54
O 0.5000 0.8687 0.4789  1 P 1.55
O 0.5000 0.8792 0.7754  1 P 1.54
O 0.5000 0.6159 0.2540  1 P 1.61
O 0.5000 0.8974 0.3120  1 P 1.60
O 0.5000 0.1026 0.6880  1 P 1.60
O 0.5000 0.6180 0.8293  1 P 1.55
O 0.5000 0.3841 0.7460  1 P 1.61
O 0.2962 0.6586 0.4093  1 P 1.58
O 0.2962 0.3414 0.5907  1 P 1.58
O 0.2986 0.6028 0.1155  1 P 1.53
O 0.2986 0.3972 0.8845  1 P 1.53
O 0.2907 0.8920 0.1797  1 P 1.54
O 0.2907 0.1080 0.8203  1 P 1.54
O 0.2093 0.3920 0.3203  1 P 1.54
O 0.2093 0.6080 0.6797  1 P 1.54
O 0.2014 0.1028 0.3845  1 P 1.53
O 0.2014 0.8972 0.6155  1 P 1.53
O 0.2038 0.1586 0.0907  1 P 1.58
O 0.2038 0.8414 0.9093  1 P 1.58